DFT (PBE) results for a geometry-optimized Pm12Nd5Tl2 structure.

abc: 9.1768 9.1768 8.6537
angles: 92.64 92.64 62.30
Sites, in units of the cell vectors:
Pm 0.0549 0.0549 0.3184
Pm 0.0691 0.6828 0.3386
Pm 0.1684 0.5370 0.7642
Pm 0.3172 0.9309 0.6614
Pm 0.4200 0.4200 0.1159
Pm 0.4630 0.8316 0.2358
Pm 0.5370 0.1684 0.7642
Pm 0.5800 0.5800 0.8841
Pm 0.6828 0.0691 0.3386
Pm 0.8316 0.4630 0.2358
Pm 0.9309 0.3172 0.6614
Pm 0.9451 0.9451 0.6816
Nd 0.1875 0.1875 0.0060
Nd 0.2669 0.2669 0.4163
Nd 0.5000 0.5000 0.5000
Nd 0.7331 0.7331 0.5837
Nd 0.8125 0.8125 0.9940
Tl 0.1851 0.8149 0.0000
Tl 0.8149 0.1851 0.0000

formation enthalpy at 0 K	0.003	eV per atom
Fermi-level density of states	1.361	states/eV/atom
ρ	7.396	g cm⁻³
uncorrected energy	-85.53	eV/cell
space group	C2/m